1.
Entry from Alexandria: crystalline LiMnCo at its relaxed geometry (PBE).

Results
Energy above the lowest structure with this stoichiometry   0.0305 eV per atom
Formation energy   0.81 eV per formula unit

```
data_LiMnCo
_chemical_formula_sum 'Li2 Mn2 Co2'
_symmetry_space_group_name_H-M 'I m m 2'
_symmetry_Int_Tables_number 44
_cell_length_a 2.557
_cell_length_b 3.792
_cell_length_c 7.770
_cell_angle_alpha 90.00
_cell_angle_beta 90.00
_cell_angle_gamma 90.00
loop_
_symmetry_equiv_pos_as_xyz
'x,y,z'
'-x,-y,z'
'-x,y,z'
'x,-y,z'
'x+1/2,y+1/2,z+1/2'
'-x+1/2,-y+1/2,z+1/2'
'-x+1/2,y+1/2,z+1/2'
'x+1/2,-y+1/2,z+1/2'
loop_
_atom_site_label
_atom_site_fract_x
_atom_site_fract_y
_atom_site_fract_z
Li1 0.000 0.000 0.000
Mn1 0.000 0.000 0.676
Co1 0.000 0.000 0.328
```

---

2.
Entry from Alexandria: crystalline LiCoRe at its relaxed geometry (PBE).

Results
Energy above the lowest structure with this stoichiometry   0.0355 eV per atom
Formation energy   0.79 eV per formula unit

```
data_LiCoRe
_chemical_formula_sum 'Li2 Co2 Re2'
_symmetry_space_group_name_H-M 'I 4 m m'
_symmetry_Int_Tables_number 107
_symmetry_space_group_name_Hall 'I 4 -2'
_cell_length_a 2.751
_cell_length_b 2.751
_cell_length_c 9.696
_cell_angle_alpha 90.00
_cell_angle_beta 90.00
_cell_angle_gamma 90.00
loop_
_atom_site_label
_atom_site_fract_x
_atom_site_fract_y
_atom_site_fract_z
Li1 0.000 0.000 0.000
Co1 0.000 0.000 0.652
Re1 0.000 0.000 0.309
```